(1)
CeSc4Tc2: optimized geometry, PBE.

Results
ΔE_f = -0.890 eV per formula unit
E_tot = -105.8 eV/cell

a b c (Å): 5.909 7.732 7.331
angles (deg): 113.04 90.00 90.00
Fractional positions:
Sc 0.250 0.260 0.333
Tc 0.250 0.247 0.966
Sc 0.998 0.416 0.760
Sc 0.502 0.416 0.760
Sc 0.250 0.978 0.603
Tc 0.750 0.753 0.034
Ce 0.750 0.169 0.026
Tc 0.250 0.629 0.587
Sc 0.750 0.022 0.397
Sc 0.498 0.584 0.240
Ce 0.250 0.831 0.974
Sc 0.750 0.740 0.667
Sc 0.002 0.584 0.240
Tc 0.750 0.371 0.413

(2)
CeScTlTc: optimized geometry, PBE.

Results
ΔE_f = -0.099 eV per formula unit
E_tot = -25.1 eV/cell

a b c (Å): 5.016 5.016 5.016
angles (deg): 60.00 60.00 60.00
Fractional positions:
Tl 0.750 0.750 0.750
Tc 0.250 0.250 0.250
Sc 0.000 0.000 0.000
Ce 0.500 0.500 0.500

(3)
CeZrScTc: optimized geometry, PBE.

Results
ΔE_f = 0.190 eV per formula unit
E_tot = -31.0 eV/cell

a b c (Å): 4.930 4.930 4.930
angles (deg): 60.00 60.00 60.00
Fractional positions:
Tc 0.500 0.500 0.500
Zr 0.750 0.750 0.750
Sc 0.000 0.000 0.000
Ce 0.250 0.250 0.250

(4)
CeScTe2: optimized geometry, PBE.

Results
E_tot = -23.5 eV/cell
Uncorrected formation energy = -1.23 eV per atom

a b c (Å): 4.283 4.283 7.621
angles (deg): 73.68 73.68 60.00
Last column: magnetic moment on the atom in μB.
Fractional positions:
Te 0.742 0.742 0.775  -0.01
Sc 0.000 0.000 0.000  -0.01
Ce 0.500 0.500 0.500  1.00
Te 0.258 0.258 0.225  -0.01

(5)
CeSc2Te4: optimized geometry, PBE.

Results
E_tot = -80.0 eV/cell
Uncorrected formation energy = -1.26 eV per atom

a b c (Å): 4.233 7.194 14.438
angles (deg): 90.00 90.00 107.11
Last column: magnetic moment on the atom in μB.
Fractional positions:
Te 0.052 0.105 0.250  -0.01
Sc 0.130 0.260 0.064  0.05
Te 0.229 0.459 0.884  -0.01
Sc 0.130 0.260 0.436  0.05
Te 0.500 0.000 0.500  -0.01
Ce 0.379 0.758 0.250  1.06
Sc 0.870 0.740 0.564  0.05
Te 0.500 0.000 0.000  -0.01
Sc 0.870 0.740 0.936  0.05
Te 0.948 0.895 0.750  -0.01
Te 0.229 0.459 0.616  -0.01
Te 0.771 0.541 0.384  -0.01
Ce 0.621 0.242 0.750  1.06
Te 0.771 0.541 0.116  -0.01

(6)
Ce2ScTe3: optimized geometry, PBE.

Results
E_tot = -35.2 eV/cell
Uncorrected formation energy = -1.26 eV per atom

a b c (Å): 4.317 6.239 7.652
angles (deg): 114.06 106.38 90.00
Last column: magnetic moment on the atom in μB.
Fractional positions:
Ce 0.673 0.173 0.346  0.98
Ce 0.327 0.827 0.654  0.98
Te 0.652 0.652 0.304  -0.01
Sc 0.000 0.500 0.000  0.08
Te 0.000 0.000 0.000  -0.01
Te 0.348 0.348 0.696  -0.01

(7)
Ce2ScTe5: optimized geometry, PBE.

Results
E_tot = -40.1 eV/cell
Uncorrected formation energy = -0.78 eV per atom

a b c (Å): 5.098 7.375 7.375
angles (deg): 90.00 90.00 90.00
Last column: magnetic moment on the atom in μB.
Fractional positions:
Te 0.000 0.274 0.274  -0.03
Te 0.000 0.726 0.726  -0.03
Sc 0.000 0.000 0.000  -0.01
Te 0.000 0.274 0.726  -0.03
Te 0.500 0.000 0.000  -0.02
Ce 0.500 0.000 0.500  1.09
Ce 0.500 0.500 0.000  1.09
Te 0.000 0.726 0.274  -0.03

(8)
Ce5ScTe6: optimized geometry, PBE.

Results
E_tot = -70.5 eV/cell
Uncorrected formation energy = -1.31 eV per atom

a b c (Å): 7.708 7.708 7.660
angles (deg): 99.73 99.73 120.21
Last column: magnetic moment on the atom in μB.
Fractional positions:
Ce 0.335 0.665 0.000  0.89
Te 0.397 0.078 0.238  -0.01
Ce 0.825 0.175 0.500  0.93
Ce 0.500 0.500 0.500  -0.87
Te 0.235 0.235 0.752  -0.01
Te 0.922 0.603 0.762  -0.01
Ce 0.665 0.335 0.000  0.89
Te 0.603 0.922 0.762  -0.01
Te 0.078 0.397 0.238  -0.01
Sc 0.000 0.000 0.000  0.01
Ce 0.175 0.825 0.500  0.93
Te 0.765 0.765 0.248  -0.01

Q: What is the E_tot in the third record?
A: -31.0 eV/cell

Repeat the eighth record exactly.
Ce5ScTe6: optimized geometry, PBE.

Results
E_tot = -70.5 eV/cell
Uncorrected formation energy = -1.31 eV per atom

a b c (Å): 7.708 7.708 7.660
angles (deg): 99.73 99.73 120.21
Last column: magnetic moment on the atom in μB.
Fractional positions:
Ce 0.335 0.665 0.000  0.89
Te 0.397 0.078 0.238  -0.01
Ce 0.825 0.175 0.500  0.93
Ce 0.500 0.500 0.500  -0.87
Te 0.235 0.235 0.752  -0.01
Te 0.922 0.603 0.762  -0.01
Ce 0.665 0.335 0.000  0.89
Te 0.603 0.922 0.762  -0.01
Te 0.078 0.397 0.238  -0.01
Sc 0.000 0.000 0.000  0.01
Ce 0.175 0.825 0.500  0.93
Te 0.765 0.765 0.248  -0.01

Q: Among the records above, which one has the lowest E_tot?
A: CeSc4Tc2